Computed, not measured: an optimized crystal structure of ZnIr15 at the GGA-PBE level of DFT.

Cell lengths 4.7252, 35.6438, 4.7254 Å; angles 90.00, 109.61, 90.00 degrees
Sites, in units of the cell vectors:
Ir  0.5000  0.7115  0.2500
Ir  0.0000  0.7109  0.7500
Ir  0.5000  0.5575  0.2500
Ir  0.5000  0.5194  0.7500
Ir  0.0000  0.6341  0.7500
Ir  0.0000  0.2493  0.7500
Ir  0.0000  0.2891  0.2500
Ir  0.5000  0.4806  0.2500
Ir  0.0000  0.5193  0.2500
Ir  0.5000  0.3270  0.2500
Ir  0.0000  0.5963  0.2500
Ir  0.0000  0.4420  0.2500
Ir  0.5000  0.5961  0.7500
Ir  0.5000  0.2885  0.7500
Ir  0.0000  0.4807  0.7500
Ir  0.5000  0.4425  0.7500
Ir  0.5000  0.2493  0.2500
Ir  0.5000  0.2152  0.7500
Ir  0.5000  0.4039  0.2500
Ir  0.0000  0.5580  0.7500
Ir  0.5000  0.3644  0.7500
Ir  0.0000  0.6730  0.2500
Ir  0.5000  0.6356  0.2500
Ir  0.0000  0.4037  0.7500
Ir  0.0000  0.7507  0.2500
Ir  0.0000  0.3659  0.2500
Ir  0.5000  0.7507  0.7500
Ir  0.0000  0.3270  0.7500
Ir  0.5000  0.7848  0.2500
Ir  0.5000  0.6730  0.7500
Zn  0.0000  0.7888  0.7500
Zn  0.0000  0.2112  0.2500

Summary:
Magnetization   0.006 μB per formula unit
Distance to the lowest polymorph of the same formula   48.5 meV per atom
Formation enthalpy at 0 K   151 meV per atom
Total energy   -8.23 eV per atom
Space-group type   No. 13



Computed, not measured: an optimized crystal structure of Zn3Ir at the GGA-PBE level of DFT.

Cell lengths 5.3185, 5.3941, 4.5088 Å; angles 90.00, 90.00, 119.54 degrees
Sites, in units of the cell vectors:
Zn  0.9994  0.0105  0.0000
Zn  0.5028  0.5056  0.0000
Zn  0.5112  0.0105  0.0000
Zn  0.3221  0.6561  0.5000
Zn  0.3306  0.1611  0.5000
Zn  0.8340  0.6561  0.5000
Ir  0.0122  0.5243  0.0000
Ir  0.8212  0.1423  0.5000

Summary:
Magnetization   0.002 μB per formula unit
Formation enthalpy at 0 K   -146 meV per atom
Total energy   -3.31 eV per atom
Space-group type   No. 63



Computed, not measured: an optimized crystal structure of ZrZnIr2 at the GGA-PBE level of DFT.

Cell lengths 4.5238, 4.5238, 7.5918 Å; angles 90.00, 90.00, 120.00 degrees
Sites, in units of the cell vectors:
Ir  0.6667  0.3333  0.9199
Ir  0.6667  0.3333  0.5801
Ir  0.3333  0.6667  0.0801
Ir  0.3333  0.6667  0.4199
Zn  0.6667  0.3333  0.2500
Zn  0.3333  0.6667  0.7500
Zr  0.0000  0.0000  0.2500
Zr  0.0000  0.0000  0.7500

Summary:
Magnetization   0.034 μB per formula unit
Formation enthalpy at 0 K   -31 meV per atom
Total energy   -6.91 eV per atom
Space-group type   No. 194



Computed, not measured: an optimized crystal structure of ZrZnIr2 at the GGA-PBE level of DFT.

Cell lengths 5.2925, 7.5088, 6.5897 Å; angles 90.00, 90.00, 90.00 degrees
Sites, in units of the cell vectors:
Ir  0.8853  0.9704  0.6878
Ir  0.1147  0.0296  0.3122
Ir  0.6147  0.5296  0.1878
Ir  0.3853  0.0296  0.8122
Ir  0.1147  0.4704  0.3122
Ir  0.6147  0.9704  0.1878
Ir  0.8853  0.5296  0.6878
Ir  0.3853  0.4704  0.8122
Zr  0.1359  0.7500  0.0234
Zr  0.3640  0.7500  0.5234
Zr  0.8641  0.2500  0.9766
Zr  0.6359  0.2500  0.4766
Zn  0.8613  0.7500  0.3935
Zn  0.1387  0.2500  0.6065
Zn  0.6387  0.7500  0.8935
Zn  0.3613  0.2500  0.1065

Summary:
Magnetization   0.004 μB per formula unit
Formation enthalpy at 0 K   -413 meV per atom
Total energy   -7.29 eV per atom
Space-group type   No. 62



Computed, not measured: an optimized crystal structure of ZrZnIr2 at the GGA-PBE level of DFT.

Cell lengths 4.2112, 4.2112, 3.5832 Å; angles 90.00, 90.00, 90.00 degrees
Sites, in units of the cell vectors:
Ir  0.0000  0.5000  0.5000
Ir  0.5000  0.0000  0.5000
Zr  0.5000  0.5000  0.0000
Zn  0.0000  0.0000  0.0000

Summary:
Magnetization   0.002 μB per formula unit
Formation enthalpy at 0 K   -646 meV per atom
Total energy   -7.53 eV per atom
Space-group type   No. 123



Computed, not measured: an optimized crystal structure of ZrZnIr2 at the GGA-PBE level of DFT.

Cell lengths 4.2962, 4.2962, 8.5396 Å; angles 90.00, 90.00, 120.00 degrees
Sites, in units of the cell vectors:
Zr  0.3333  0.6667  0.2500
Zr  0.6667  0.3333  0.7500
Zn  0.0000  0.0000  0.0000
Zn  0.0000  0.0000  0.5000
Ir  0.3333  0.6667  0.9052
Ir  0.3333  0.6667  0.5948
Ir  0.6667  0.3333  0.4052
Ir  0.6667  0.3333  0.0948

Summary:
Magnetization   0.008 μB per formula unit
Formation enthalpy at 0 K   -481 meV per atom
Total energy   -7.36 eV per atom
Space-group type   No. 194